Record 1
Entry from the Alexandria database: a geometry-optimized Ho5Er3Tm3 structure (PBE-GGA).

Cell lengths 9.5858, 9.5858, 5.4514 Å; angles 90.00, 90.00, 120.00 degrees
Space group P-62m (No. 189)
Unique sites:
Ho (0.0000, 0.2720, 0.0000) (multiplicity 3)
Ho (0.3333, 0.6667, 0.0000) (multiplicity 2)
Er (0.0000, 0.4580, 0.5000) (multiplicity 3)
Tm (0.0000, 0.6305, 0.0000) (multiplicity 3)

Output
formation energy = 838 meV/atom


Record 2
Entry from the Alexandria database: a geometry-optimized CaEr3Tl4 structure (PBE-GGA).

Cell lengths 3.8003, 3.8003, 15.1184 Å; angles 90.00, 90.00, 90.00 degrees
Space group P4/mmm (No. 123)
Unique sites:
Ca (0.0000, 0.0000, 0.0000) (multiplicity 1)
Er (0.0000, 0.0000, 0.2541) (multiplicity 2)
Er (0.0000, 0.0000, 0.5000) (multiplicity 1)
Tl (0.5000, 0.5000, 0.1327) (multiplicity 2)
Tl (0.5000, 0.5000, 0.3785) (multiplicity 2)

Output
formation energy = -350 meV/atom


Record 3
Entry from the Alexandria database: a geometry-optimized Na3Dy2ScSe6 structure (PBE-GGA).

Cell lengths 7.0650, 12.2403, 7.3818 Å; angles 90.00, 108.66, 90.00 degrees
Space group C2/m (No. 12)
Unique sites:
Na (0.0000, 0.0000, 0.0000) (multiplicity 2)
Na (0.0000, 0.3315, 0.0000) (multiplicity 4)
Dy (0.0000, 0.1664, 0.5000) (multiplicity 4)
Sc (0.0000, 0.5000, 0.5000) (multiplicity 2)
Se (0.2361, 0.3391, 0.7258) (multiplicity 8)
Se (0.2461, 0.5000, 0.2749) (multiplicity 4)

Output
E_form (uncorrected) = -1.662 eV per atom


no.,spin magnetization (μB per formula unit),raw total energy (eV/atom)
1,0.0,-3.707
2,0.0,-3.494
3,0.0,-5.028